Record 1
Below is a relaxed structure of TaBe2In, with properties calculated at the PBE level.

Properties
Fermi-level density of states in states/eV per cell: 1.18
Energy of formation in eV/atom: 0.33
E in eV/atom: -5.1781
Magnetic moment in μB per formula unit: 0.00

Unit cell a=2.9344 b=2.9344 c=6.9370 alpha=90.00 beta=90.00 gamma=90.00
Last column: nearest neighbours and their distance in Å.
Space group P4/mmm (No. 123)
Asymmetric unit:
Ta 0.0000 0.0000 0.0000 x1  8 Be 2.62, 4 Ta 2.93
Be 0.5000 0.5000 0.2312 x2  4 Ta 2.62, 4 In 2.79, 4 Be 2.93
In 0.0000 0.0000 0.5000 x1  8 Be 2.79, 4 In 2.93

=====

Record 2
Below is a relaxed structure of HoInPdRh, with properties calculated at the PBE level.

Properties
Fermi-level density of states in states/eV per cell: 10.55
Energy of formation in eV/atom: -0.77
E in eV/atom: -5.7378
Magnetic moment in μB per formula unit: 0.00

Unit cell a=6.7054 b=6.7054 c=6.7054 alpha=90.00 beta=90.00 gamma=90.00
Last column: nearest neighbours and their distance in Å.
Space group F-43m (No. 216)
Asymmetric unit:
Ho 0.0000 0.0000 0.0000 x4  4 Rh 2.90, 4 Pd 2.90
In 0.0000 0.0000 0.5000 x4  4 Rh 2.90, 4 Pd 2.90
Pd 0.2500 0.2500 0.2500 x4  4 In 2.90, 4 Ho 2.90
Rh 0.2500 0.2500 0.7500 x4  4 Ho 2.90, 4 In 2.90

=====

Record 3
Below is a relaxed structure of CuPdRu2, with properties calculated at the PBE level.

Properties
Fermi-level density of states in states/eV per cell: 20.48
Energy of formation in eV/atom: 0.47
E in eV/atom: -6.4867
Excess energy over the best structure of this formula in the dataset in meV per atom: 0
Magnetic moment in μB per formula unit: 0.00

Unit cell a=6.0771 b=6.0771 c=6.0771 alpha=90.00 beta=90.00 gamma=90.00
Last column: nearest neighbours and their distance in Å.
Space group Fm-3m (No. 225)
Asymmetric unit:
Cu 0.0000 0.0000 0.0000 x4  8 Ru 2.63
Pd 0.0000 0.0000 0.5000 x4  8 Ru 2.63
Ru 0.2500 0.2500 0.2500 x8  4 Cu 2.63, 4 Pd 2.63

=====

Record 4
Below is a relaxed structure of CsLiMg14, with properties calculated at the PBE level.

Properties
Fermi-level density of states in states/eV per cell: 12.24
Energy of formation in eV/atom: 0.15
E in eV/atom: -1.4218
Excess energy over the best structure of this formula in the dataset in meV per atom: 0
Magnetic moment in μB per formula unit: 0.00

Unit cell a=10.9608 b=6.3583 c=11.6554 alpha=90.00 beta=90.00 gamma=90.00
Last column: nearest neighbours and their distance in Å.
Space group Amm2 (No. 38)
Asymmetric unit:
Cs 0.0000 0.0000 0.0000 x2  2 Li 3.20, 6 Mg 3.25-3.43
Li 0.0000 0.0000 0.4661 x2  8 Mg 3.10-3.46, 2 Cs 3.20
Mg 0.0000 0.2409 0.7406 x4  6 Mg 3.06-3.31, 1 Li 3.10, 2 Cs 3.25-3.39
Mg 0.2400 0.0000 0.6289 x4  11 Mg 3.21-3.42, 1 Li 3.24
Mg 0.2653 0.2468 0.3768 x8  10 Mg 3.14-3.43, 1 Li 3.46
Mg 0.2775 0.0000 0.1367 x4  9 Mg 3.08-3.43, 1 Cs 3.43
Mg 0.5000 0.0000 0.4675 x2  12 Mg 3.18-3.42
Mg 0.5000 0.0000 0.9656 x2  12 Mg 3.15-3.36
Mg 0.5000 0.2427 0.7170 x4  12 Mg 3.08-3.40

=====

Record 5
Below is a relaxed structure of ErCd3Pb, with properties calculated at the PBE level.

Properties
Fermi-level density of states in states/eV per cell: 12.72
Energy of formation in eV/atom: 0.33
E in eV/atom: -1.8758
Magnetic moment in μB per formula unit: 0.00

Unit cell a=5.2930 b=25.4100 c=5.0365 alpha=90.00 beta=90.00 gamma=90.00
Last column: nearest neighbours and their distance in Å.
Space group Cmcm (No. 63)
Asymmetric unit:
Er 0.0000 0.1127 0.2500 x4  4 Cd 3.06-3.13
Cd 0.0000 0.0000 0.0000 x4  2 Cd 2.52
Cd 0.2479 0.2790 0.7500 x8  4 Cd 2.62-2.92
Pb 0.0000 0.3819 0.2500 x4  4 Er 3.66, 4 Cd 3.86

=====

Record 6
Below is a relaxed structure of TaRh2Br, with properties calculated at the PBE level.

Properties
Fermi-level density of states in states/eV per cell: 7.20
E in eV/atom: -6.6875
Formation energy (no corrections) in eV/atom: 0.370
Excess energy over the best structure of this formula in the dataset in meV per atom: 608
Magnetic moment in μB per formula unit: 0.00

Unit cell a=5.5999 b=8.0121 c=3.0255 alpha=90.00 beta=102.21 gamma=90.00
Last column: nearest neighbours and their distance in Å.
Space group C2/m (No. 12)
Asymmetric unit:
Ta 0.0000 0.0000 0.0000 x2  8 Rh 2.71-3.03, 2 Br 2.80, 2 Ta 3.03
Rh 0.2500 0.2500 0.5000 x4  4 Ta 2.71-3.03, 4 Br 2.71-3.03, 4 Rh 2.80-3.03
Br 0.0000 0.5000 0.0000 x2  8 Rh 2.71-3.03, 2 Ta 2.80, 2 Br 3.03

=====

Record 7
Below is a relaxed structure of Ni2HgMo, with properties calculated at the PBE level.

Properties
Fermi-level density of states in states/eV per cell: 27.16
Energy of formation in eV/atom: 0.72
E in eV/atom: -4.9563
Magnetic moment in μB per formula unit: 0.00

Unit cell a=6.8314 b=6.8314 c=5.5098 alpha=90.00 beta=90.00 gamma=90.00
Last column: nearest neighbours and their distance in Å.
Space group I-42d (No. 122)
Asymmetric unit:
Ni 0.2224 0.2500 0.1250 x8  2 Mo 2.39, 2 Hg 2.64
Hg 0.0000 0.0000 0.5000 x4  4 Ni 2.64, 2 Mo 2.75
Mo 0.0000 0.0000 0.0000 x4  4 Ni 2.39

=====

Record 8
Below is a relaxed structure of AgGeS2Cl, with properties calculated at the PBE level.

Properties
Fermi-level density of states in states/eV per cell: 2.14
E in eV/atom: -3.0625
Formation energy (no corrections) in eV/atom: 0.452
Excess energy over the best structure of this formula in the dataset in meV per atom: 254
Magnetic moment in μB per formula unit: 0.00

Unit cell a=4.8631 b=4.8631 c=4.8541 alpha=90.00 beta=90.00 gamma=90.00
Last column: nearest neighbours and their distance in Å.
Space group P4/mmm (No. 123)
Asymmetric unit:
Ag 0.0000 0.0000 0.0000 x1  2 Cl 2.43, 4 S 2.43
Ge 0.5000 0.5000 0.5000 x1  8 S 3.44, 4 Cl 3.44
S 0.0000 0.5000 0.0000 x2  2 Ag 2.43
Cl 0.0000 0.0000 0.5000 x1  2 Ag 2.43

=====

Record 9
Below is a relaxed structure of Ho6SnHg6, with properties calculated at the PBE level.

Properties
Fermi-level density of states in states/eV per cell: 16.94
Energy of formation in eV/atom: -0.29
E in eV/atom: -2.8464
Magnetic moment in μB per formula unit: 1.39

Unit cell a=6.2493 b=6.2493 c=10.3384 alpha=90.00 beta=90.00 gamma=120.00
Last column: nearest neighbours and their distance in Å.
Space group P6/mmm (No. 191)
Asymmetric unit:
Ho 0.0000 0.0000 0.1834 x2  6 Hg 3.20, 1 Sn 3.27
Ho 0.3333 0.6667 0.0000 x2  6 Hg 3.14
Ho 0.3333 0.6667 0.5000 x2  6 Hg 3.16
Sn 0.0000 0.0000 0.5000 x1  8 Ho 3.27-3.61
Hg 0.0000 0.5000 0.2487 x6  4 Hg 3.12, 6 Ho 3.14-3.20

=====

Record 10
Below is a relaxed structure of Ac3PuS6, with properties calculated at the PBE level.

Properties
Fermi-level density of states in states/eV per cell: 39.85
E in eV/atom: -6.7230
Formation energy (no corrections) in eV/atom: -1.581
Excess energy over the best structure of this formula in the dataset in meV per atom: 430
Magnetic moment in μB per formula unit: 4.29

Unit cell a=8.8295 b=10.7523 c=12.9363 alpha=90.00 beta=90.00 gamma=90.00
Last column: nearest neighbours and their distance in Å.
Space group Fmmm (No. 69)
Asymmetric unit:
Ac 0.0000 0.0000 0.0000 x4  6 S 2.79-2.97
Ac 0.2500 0.2500 0.2500 x8  4 S 3.07
Pu 0.0000 0.0000 0.5000 x4  6 S 2.58-2.68
S 0.0000 0.2404 0.5000 x8  1 Pu 2.58, 1 Ac 2.79
S 0.2292 0.0000 0.3643 x16  1 Pu 2.68, 1 Ac 2.97, 1 S 2.98

=====

Record 11
Below is a relaxed structure of TaTl3Cd2Se6, with properties calculated at the PBE level.

Properties
Fermi-level density of states in states/eV per cell: 2.43
E in eV/atom: -3.9767
Formation energy (no corrections) in eV/atom: -0.503
Magnetic moment in μB per formula unit: 0.00

Unit cell a=7.0231 b=12.1954 c=7.9162 alpha=90.00 beta=106.24 gamma=90.00
Last column: nearest neighbours and their distance in Å.
Space group C2/m (No. 12)
Asymmetric unit:
Ta 0.0000 0.0000 0.0000 x2  6 Se 2.62-2.63
Tl 0.0000 0.1714 0.5000 x4  6 Se 3.20-3.42
Tl 0.0000 0.5000 0.5000 x2  6 Se 3.24-3.36
Cd 0.0000 0.3340 0.0000 x4  6 Se 2.81-2.93
Se 0.2213 0.1522 0.1939 x8  1 Ta 2.62, 2 Cd 2.81-2.89
Se 0.2328 0.0000 0.7920 x4  1 Ta 2.63, 2 Cd 2.93

=====

Record 12
Below is a relaxed structure of Pr2Nd7Er, with properties calculated at the PBE level.

Properties
Fermi-level density of states in states/eV per cell: 29.89
Energy of formation in eV/atom: 0.14
E in eV/atom: -4.6058
Magnetic moment in μB per formula unit: 0.00

Unit cell a=6.7899 b=29.5723 c=3.5089 alpha=90.00 beta=90.00 gamma=90.00
Last column: nearest neighbours and their distance in Å.
Space group Cmmm (No. 65)
Asymmetric unit:
Pr 0.0000 0.2042 0.0000 x4  2 Pr 3.51, 8 Nd 3.60-3.85
Nd 0.0000 0.0000 0.0000 x2  6 Nd 3.38-3.51
Nd 0.0000 0.3115 0.5000 x4  6 Nd 3.51-3.60, 6 Pr 3.63-3.85
Nd 0.2430 0.4022 0.0000 x8  7 Nd 3.30-3.60, 1 Pr 3.60
Er 0.0000 0.5000 0.5000 x2  2 Er 3.51, 12 Nd 3.76-3.82

=====

> Which formula does entry 8 have?

AgGeS2Cl